# 1
A relaxed HfMg2PtRh crystal, computed with GGA-PBEsol.

abc: 4.7090 4.7090 4.9820
angles: 90.00 90.00 90.00
Last column: nearest neighbours and their distance in Å.
Fractional coordinates of all 5 atoms:
Pt (0.0000, 0.0000, 0.0000)  4 Mg 2.35, 2 Hf 2.49
Mg (0.5000, 0.0000, 0.0000)  2 Pt 2.35
Mg (0.0000, 0.5000, 0.0000)  2 Pt 2.35
Hf (0.0000, 0.0000, 0.5000)  2 Pt 2.49
Rh (0.5000, 0.5000, 0.5000)  4 Hf 3.33, 8 Mg 3.43

Values from the calculation:
* formation enthalpy at 0 K: 0.294 eV per atom
* Fermi-level density of states: 0.752 states/eV/atom
* energy: -27.6 eV per cell

---

# 2
A relaxed CdNi3Sb crystal, computed with GGA-PBEsol.

abc: 4.5623 4.5623 4.5623
angles: 90.00 90.00 90.00
Last column: nearest neighbours and their distance in Å.
Fractional coordinates of all 5 atoms:
Sb (0.5000, 0.5000, 0.5000)  12 Ni 3.23
Cd (0.0000, 0.0000, 0.0000)  6 Ni 2.28
Ni (0.5000, 0.0000, 0.0000)  2 Cd 2.28
Ni (0.0000, 0.5000, 0.0000)  2 Cd 2.28
Ni (0.0000, 0.0000, 0.5000)  2 Cd 2.28

Values from the calculation:
* Fermi-level density of states: 1.871 states/eV/atom
* uncorrected formation energy: 1.16 eV per atom
* energy: -18.4 eV per cell